# 1
The following is a PBE calculation of a relaxed structure of Si2AsP, from Alexandria.

Results
Space group: No. 47
Formation energy (no corrections) (meV/atom): 562
Theoretical density (g/cm³): 4.26
DFT total energy (eV for the cell shown): -18.7
Magnetic moment (Bohr magnetons per cell): 0.00

Unit cell a=3.204 b=4.406 c=4.471 alpha=90.00 beta=90.00 gamma=90.00
Sites, in units of the cell vectors:
Si (0.000, 0.000, 0.000)
Si (0.500, 0.500, 0.000)
As (0.000, 0.500, 0.500)
P (0.500, 0.000, 0.500)

***

# 2
The following is a PBE calculation of a relaxed structure of Hf6HAu2, from Alexandria.

Results
Space group: No. 14
Theoretical density (g/cm³): 14.05
DFT total energy (eV for the cell shown): -143.4
Magnetic moment (Bohr magnetons per cell): 0.00

Unit cell a=5.972 b=6.066 c=11.236 alpha=90.00 beta=121.64 gamma=90.00
Sites, in units of the cell vectors:
Hf (0.084, 0.224, 0.464)
Hf (0.084, 0.276, 0.964)
Hf (0.333, 0.701, 0.463)
Hf (0.333, 0.799, 0.963)
Hf (0.415, 0.019, 0.249)
Hf (0.415, 0.481, 0.749)
Hf (0.585, 0.519, 0.251)
Hf (0.585, 0.981, 0.751)
Hf (0.667, 0.201, 0.037)
Hf (0.667, 0.299, 0.537)
Hf (0.916, 0.724, 0.036)
Hf (0.916, 0.776, 0.536)
H (0.500, 0.000, 0.500)
H (0.500, 0.500, 0.000)
Au (0.127, 0.116, 0.748)
Au (0.127, 0.384, 0.248)
Au (0.873, 0.616, 0.752)
Au (0.873, 0.884, 0.252)

***

# 3
The following is a PBE calculation of a relaxed structure of La2HoTm4Th, from Alexandria.

Results
Space group: No. 123
Theoretical density (g/cm³): 8.71
DFT total energy (eV for the cell shown): -39.4
Magnetic moment (Bohr magnetons per cell): 0.00
E_form (meV per atom): 39

Unit cell a=5.122 b=5.122 c=9.809 alpha=90.00 beta=90.00 gamma=90.00
Sites, in units of the cell vectors:
La (0.000, 0.000, 0.000)
La (0.500, 0.500, 0.500)
Ho (0.000, 0.000, 0.500)
Tm (0.000, 0.500, 0.246)
Tm (0.000, 0.500, 0.754)
Tm (0.500, 0.000, 0.246)
Tm (0.500, 0.000, 0.754)
Th (0.500, 0.500, 0.000)

***

# 4
The following is a PBE calculation of a relaxed structure of PuBi4Pb7, from Alexandria.

Results
Space group: No. 12
Theoretical density (g/cm³): 10.54
DFT total energy (eV for the cell shown): -54.6
Magnetic moment (Bohr magnetons per cell): 5.91
E_form (meV per atom): 102

Unit cell a=8.598 b=8.598 c=9.848 alpha=123.12 beta=123.12 gamma=42.55
Sites, in units of the cell vectors:
Pu (0.000, 0.000, 0.000)
Bi (0.257, 0.257, 0.740)
Bi (0.463, 0.463, 0.294)
Bi (0.537, 0.537, 0.706)
Bi (0.743, 0.743, 0.260)
Pb (0.041, 0.041, 0.379)
Pb (0.215, 0.215, 0.023)
Pb (0.273, 0.273, 0.417)
Pb (0.500, 0.500, 0.000)
Pb (0.727, 0.727, 0.583)
Pb (0.785, 0.785, 0.977)
Pb (0.959, 0.959, 0.621)

***

# 5
The following is a PBE calculation of a relaxed structure of Sc2ZnAs, from Alexandria.

Results
Space group: No. 225
Theoretical density (g/cm³): 5.06
DFT total energy (eV for the cell shown): -83.4
Magnetic moment (Bohr magnetons per cell): 0.00
E_form (meV per atom): -564

Unit cell a=6.710 b=6.710 c=6.710 alpha=90.00 beta=90.00 gamma=90.00
Sites, in units of the cell vectors:
Sc (0.250, 0.250, 0.250)
Sc (0.250, 0.250, 0.750)
Sc (0.250, 0.750, 0.250)
Sc (0.250, 0.750, 0.750)
Sc (0.750, 0.250, 0.250)
Sc (0.750, 0.250, 0.750)
Sc (0.750, 0.750, 0.250)
Sc (0.750, 0.750, 0.750)
Zn (0.000, 0.000, 0.000)
Zn (0.000, 0.500, 0.500)
Zn (0.500, 0.000, 0.500)
Zn (0.500, 0.500, 0.000)
As (0.000, 0.000, 0.500)
As (0.000, 0.500, 0.000)
As (0.500, 0.000, 0.000)
As (0.500, 0.500, 0.500)

***

# 6
The following is a PBE calculation of a relaxed structure of ZrAgAu2, from Alexandria.

Results
Space group: No. 71
Theoretical density (g/cm³): 11.99
DFT total energy (eV for the cell shown): -34.6
Magnetic moment (Bohr magnetons per cell): 0.00
E_form (meV per atom): 162

Unit cell a=2.857 b=5.123 c=11.223 alpha=90.00 beta=90.00 gamma=90.00
Sites, in units of the cell vectors:
Zr (0.000, 0.000, 0.000)
Zr (0.500, 0.500, 0.500)
Ag (0.000, 0.000, 0.500)
Ag (0.500, 0.500, 0.000)
Au (0.000, 0.000, 0.249)
Au (0.000, 0.000, 0.751)
Au (0.500, 0.500, 0.251)
Au (0.500, 0.500, 0.749)

***

# 7
The following is a PBE calculation of a relaxed structure of BaHgGe, from Alexandria.

Results
Space group: No. 12
Theoretical density (g/cm³): 7.33
DFT total energy (eV for the cell shown): -33.6
Magnetic moment (Bohr magnetons per cell): 0.00
E_form (meV per atom): -518

Unit cell a=17.895 b=4.232 c=5.131 alpha=90.00 beta=106.65 gamma=90.00
Sites, in units of the cell vectors:
Ba (0.138, 0.000, 0.380)
Ba (0.362, 0.500, 0.620)
Ba (0.638, 0.500, 0.380)
Ba (0.862, 0.000, 0.620)
Hg (0.042, 0.500, 0.791)
Hg (0.458, 0.000, 0.209)
Hg (0.542, 0.000, 0.791)
Hg (0.958, 0.500, 0.209)
Ge (0.209, 0.500, 0.919)
Ge (0.291, 0.000, 0.081)
Ge (0.709, 0.000, 0.919)
Ge (0.791, 0.500, 0.081)

***

# 8
The following is a PBE calculation of a relaxed structure of MgGe2Bi, from Alexandria.

Results
Space group: No. 225
Theoretical density (g/cm³): 6.72
DFT total energy (eV for the cell shown): -56.0
Magnetic moment (Bohr magnetons per cell): 0.00
E_form (meV per atom): 181

Unit cell a=7.207 b=7.207 c=7.207 alpha=90.00 beta=90.00 gamma=90.00
Sites, in units of the cell vectors:
Mg (0.000, 0.000, 0.000)
Mg (0.000, 0.500, 0.500)
Mg (0.500, 0.000, 0.500)
Mg (0.500, 0.500, 0.000)
Ge (0.250, 0.250, 0.250)
Ge (0.250, 0.250, 0.750)
Ge (0.250, 0.750, 0.250)
Ge (0.250, 0.750, 0.750)
Ge (0.750, 0.250, 0.250)
Ge (0.750, 0.250, 0.750)
Ge (0.750, 0.750, 0.250)
Ge (0.750, 0.750, 0.750)
Bi (0.000, 0.000, 0.500)
Bi (0.000, 0.500, 0.000)
Bi (0.500, 0.000, 0.000)
Bi (0.500, 0.500, 0.500)